a:
## AgPOsO2 (PBE)

Data for AgPOsO2 after structural relaxation.

a b c (Å): 3.8585 3.8585 5.2100
angles (deg): 90.00 90.00 90.00
Last column: nearest neighbours and their distance in Å.
Fractional positions:
O  0.5000  0.0000  0.0000  2 Ag 1.93
O  0.0000  0.5000  0.0000  2 Ag 1.93
Os  0.5000  0.5000  0.5000  4 P 2.73
P  0.0000  0.0000  0.5000  2 Ag 2.61, 4 Os 2.73
Ag  0.0000  0.0000  0.0000  4 O 1.93

Output
SG: P4/mmm, No. 123
Total magnetic moment (Bohr magnetons per cell): 3.56
DOS(E_F) (states/eV per cell): 4.55

=====

b:
## AgPOsO2 (PBE)

Data for AgPOsO2 after structural relaxation.

a b c (Å): 3.7430 3.7430 5.3389
angles (deg): 90.00 90.00 90.00
Last column: nearest neighbours and their distance in Å.
Fractional positions:
Os  0.0000  0.0000  0.0000  4 O 1.87
O  0.0000  0.5000  0.0000  2 Os 1.87
O  0.5000  0.0000  0.0000  2 Os 1.87
Ag  0.5000  0.5000  0.5000  4 P 2.65
P  0.0000  0.0000  0.5000  4 Ag 2.65, 2 Os 2.67

Output
SG: P4/mmm, No. 123
Total magnetic moment (Bohr magnetons per cell): 0.35
DOS(E_F) (states/eV per cell): 4.24

=====

Relative to the most stable structure, the computed energies are a 1.655; b 0.000, all in eV/atom.